1.
YBeInFe | PBE | relaxed

```
4
Lattice="-1.451 -4.167 -1.348 -1.339 -3.103 3.140 -4.458 -1.123 0.377" Properties=species:S:1:pos:R:3 pbc="T T T"
In 0.000 0.000 0.000
Fe -5.437 -6.295 1.626
Be -3.624 -4.197 1.084
Y -1.812 -2.098 0.542
```

Output
Total moment = 0.547 μB per atom
Volume = 69.42 Å³/cell
Excess energy over the best structure of this formula in the dataset = 0.071 eV per atom

---

2.
Be2FeIr | PBE | relaxed

```
4
Lattice="2.270 -0.784 3.086 0.984 2.859 2.479 -1.511 0.067 3.606" Properties=species:S:1:pos:R:3 pbc="T T T"
Be 0.436 0.536 2.293
Ir 0.872 1.071 4.586
Be 0.000 0.000 0.000
Fe 1.308 1.607 6.879
```

Output
Total moment = 0.632 μB per atom
Volume = 42.28 Å³/cell
E = -25.40 eV per cell

---

3.
BeFeIr | PBE | relaxed

```
3
Lattice="0.000 2.652 2.652 2.652 0.000 2.652 2.652 2.652 0.000" Properties=species:S:1:pos:R:3 pbc="T T T"
Ir 3.977 3.977 3.977
Fe 1.326 1.326 1.326
Be 0.000 0.000 0.000
```

Output
Total moment = 1.027 μB per atom
Volume = 37.28 Å³/cell
Excess energy over the best structure of this formula in the dataset = 0.000 eV per atom